The following is a PBE calculation of an optimized crystal structure of Pa3Os2Rh2, from Alexandria via LeMat-Bulk.

Computed properties:
The density comes out at 14.97 Mg/m³. The calculation puts the energy at -138.30 eV for the cell shown. The density of states at the Fermi level is 0.739 states/eV per atom. The formation energy comes out at -3.50 eV per formula unit.

Cell and atoms, written as POSCAR:
```
Pa3Os2Rh2
1.0
-4.140 4.140 4.140
4.140 -4.140 4.140
4.140 4.140 -4.140
Pa Os Rh
6 4 4
direct
0.134 0.884 0.250
0.250 0.134 0.884
0.366 0.616 0.750
0.616 0.750 0.366
0.750 0.366 0.616
0.884 0.250 0.134
0.000 0.157 0.500
0.157 0.500 0.000
0.343 0.343 0.343
0.500 0.000 0.157
0.000 0.680 0.500
0.500 0.000 0.680
0.680 0.500 0.000
0.820 0.820 0.820
```